Yb2Co2O5 | GGA+U | relaxed

Cell and atoms, written as POSCAR:
```
Yb2Co2O5
1.0
-2.402 -2.930 -0.753
2.605 -1.514 -2.416
2.906 -3.799 5.514
O Yb Co
5 2 2
direct
0.000 0.000 0.500
0.500 0.000 0.203
0.500 0.000 0.797
0.000 0.500 0.203
0.000 0.500 0.797
0.500 0.500 0.500
0.500 0.500 0.000
0.000 0.000 0.235
0.000 0.000 0.765
```

Summary:
E, eV/atom: -6.044